[1]
The following is a DFT calculation (PBE-GGA) of Nd3Y3Si4 after structural relaxation.

energy relative to the elements, uncorrected	-642	meV/atom

Cell: 4.2144 7.6897 7.6897 Å, 92.31 90.00 90.00°
Last column: nearest neighbours and their distance in Å.
Atoms (fractional coordinates):
1 Nd 0.0000 0.4878 0.9891  4 Si 3.04-3.17
2 Nd 0.0000 0.0109 0.5122  4 Si 3.04-3.17
3 Nd 0.5000 0.1694 0.8306  6 Si 3.14-3.31, 4 Nd 3.42
4 Y 0.5000 0.8198 0.1802  6 Si 3.05-3.08
5 Y 0.5000 0.3289 0.3181  6 Si 3.06-3.10
6 Y 0.5000 0.6819 0.6711  6 Si 3.06-3.10
7 Si 0.0000 0.6215 0.3785  1 Si 2.46
8 Si 0.0000 0.3994 0.6006  1 Si 2.46
9 Si 0.0000 0.8761 0.8959  1 Si 2.43
10 Si 0.0000 0.1041 0.1239  1 Si 2.43

[2]
The following is a DFT calculation (PBE-GGA) of CeBeCoGe2 after structural relaxation.

formation energy	-2.45	eV/f.u.

Cell: 4.0216 4.0216 5.7505 Å, 110.47 110.47 90.00°
Last column: nearest neighbours and their distance in Å.
Atoms (fractional coordinates):
1 Ce 0.0000 0.0000 0.0000  8 Ge 3.12, 4 Co 3.21, 4 Be 3.21
2 Be 0.2500 0.7500 0.5000  4 Ge 2.34
3 Co 0.7500 0.2500 0.5000  4 Ge 2.34
4 Ge 0.6294 0.6294 0.2588  2 Be 2.34, 2 Co 2.34, 1 Ge 2.59
5 Ge 0.3706 0.3706 0.7412  2 Be 2.34, 2 Co 2.34, 1 Ge 2.59

[3]
The following is a DFT calculation (PBE-GGA) of SiSb2Os after structural relaxation.

energy relative to the elements, uncorrected	51	meV/atom

Cell: 4.1640 4.1640 6.6681 Å, 71.76 71.76 58.53°
Last column: nearest neighbours and their distance in Å.
Atoms (fractional coordinates):
1 Os 0.7935 0.7935 0.6247  3 Si 2.38-2.40
2 Sb 0.0317 0.0317 0.8990  3 Si 2.89-3.01, 3 Os 2.93
3 Sb 0.2116 0.2116 0.3512  3 Si 2.89-3.01, 3 Os 2.93
4 Si 0.4632 0.4632 0.6251  3 Os 2.38-2.40

[4]
The following is a DFT calculation (PBE-GGA) of Nb3ReS6 after structural relaxation.

energy relative to the elements, uncorrected	-636	meV/atom

Cell: 7.7526 7.7526 7.7526 Å, 73.46 73.46 73.46°
Last column: nearest neighbours and their distance in Å.
Atoms (fractional coordinates):
1 Nb 0.3592 0.8832 0.7384  5 S 2.36-2.55
2 Nb 0.8832 0.7384 0.3592  5 S 2.36-2.55
3 Nb 0.2616 0.6408 0.1168  5 S 2.36-2.55
4 Nb 0.7384 0.3592 0.8832  5 S 2.36-2.55
5 Nb 0.1168 0.2616 0.6408  5 S 2.36-2.55
6 Nb 0.6408 0.1168 0.2616  5 S 2.36-2.55
7 Re 0.0000 0.0000 0.0000  6 S 2.45
8 Re 0.5000 0.5000 0.5000  6 S 2.46
9 S 0.3158 0.9409 0.0408  2 Nb 2.36-2.42, 1 Re 2.45
10 S 0.0591 0.9592 0.6842  2 Nb 2.36-2.42, 1 Re 2.45
11 S 0.5373 0.8194 0.4233  1 Re 2.46, 3 Nb 2.51-2.55
12 S 0.9592 0.6842 0.0591  2 Nb 2.36-2.42, 1 Re 2.45
13 S 0.4233 0.5373 0.8194  1 Re 2.46, 3 Nb 2.51-2.55
14 S 0.1806 0.5767 0.4627  1 Re 2.46, 3 Nb 2.51-2.55
15 S 0.8194 0.4233 0.5373  1 Re 2.46, 3 Nb 2.51-2.55
16 S 0.5767 0.4627 0.1806  1 Re 2.46, 3 Nb 2.51-2.55
17 S 0.0408 0.3158 0.9409  2 Nb 2.36-2.42, 1 Re 2.45
18 S 0.4627 0.1806 0.5767  1 Re 2.46, 3 Nb 2.51-2.55
19 S 0.9409 0.0408 0.3158  2 Nb 2.36-2.42, 1 Re 2.45
20 S 0.6842 0.0591 0.9592  2 Nb 2.36-2.42, 1 Re 2.45